Record 1
The following is a PBE calculation of crystalline Tm8Ge3PSe4 at its relaxed geometry, from Alexandria.

The structure belongs to space group R-3m (No. 166, hexagonal axes); the cell edges are 8.1055, 8.1055 and 19.9592 Å and the angles 90.00°, 90.00° and 120.00°. Symmetry generates all atoms from Tm at (0.0000, 0.0000, 0.2454), Tm at (0.0009, 0.5005, 0.2441), Ge at (0.0000, 0.5000, 0.5000), P at (0.0000, 0.0000, 0.5000), Se at (0.0000, 0.0000, 0.0000) and Se at (0.0000, 0.5000, 0.0000).

Its formation energy from raw total energies is -23.3 eV/f.u. The density of states at the Fermi level comes out at 0.203 states/eV per atom. The calculation puts the electronic total energy at -5.765 eV/atom. Its crystal system is trigonal.

Record 2
The following is a PBE calculation of crystalline LiBe4As3O12 at its relaxed geometry, from Alexandria.

The structure belongs to space group R32 (No. 155, hexagonal axes); the cell edges are 9.7455, 9.7455 and 6.9559 Å and the angles 90.00°, 90.00° and 120.00°. Symmetry generates all atoms from Li at (0.0000, 0.0000, 0.0000), Be at (0.0000, 0.0000, 0.5000), Be at (0.0000, 0.4351, 0.5000), As at (0.0000, 0.5546, 0.0000), O at (0.0000, 0.5978, 0.5000), O at (0.0000, 0.8405, 0.5000) and O at (0.0500, 0.2210, 0.1912).

Its formation energy from raw total energies is -35.4 eV/f.u. The density of states at the Fermi level comes out at 0.000 states/eV per atom. The calculation puts the electronic total energy at -6.283 eV/atom. Its crystal system is trigonal.

Record 3
The following is a PBE calculation of crystalline Zr6Fe2Pd at its relaxed geometry, from Alexandria.

The structure belongs to space group Immm (No. 71); the cell edges are 8.337, 8.806 and 9.582 Å and the angles 90.00°, 90.00° and 90.00°. Symmetry generates all atoms from Zr at (0.000, 0.204, 0.226), Zr at (0.199, 0.316, 0.500), Zr at (0.202, 0.500, 0.170), Fe at (0.000, 0.340, 0.000), Fe at (0.000, 0.500, 0.363), Pd at (0.000, 0.000, 0.000) and Pd at (0.000, 0.000, 0.500).

The density of states at the Fermi level comes out at 1.139 states/eV per atom. The formation energy is -220 meV/atom. The calculation puts the electronic total energy at -8.376 eV/atom. Its crystal system is orthorhombic.

Record 4
The following is a PBE calculation of crystalline Ta2VSnPd at its relaxed geometry, from Alexandria.

The structure belongs to space group P4/mmm (No. 123); the cell edges are 5.034, 5.034 and 4.702 Å and the angles 90.00°, 90.00° and 90.00°. Symmetry generates all atoms from Ta at (0.000, 0.500, 0.000), V at (0.000, 0.000, 0.500), Sn at (0.500, 0.500, 0.000) and Pd at (0.500, 0.500, 0.500).

The density of states at the Fermi level comes out at 1.318 states/eV per atom. The formation energy is 1864 meV/atom. The calculation puts the electronic total energy at -6.540 eV/atom. Its crystal system is tetragonal.

Question: Among the records above, which one has the lowest electronic total energy?
Answer: Zr6Fe2Pd